## w
VASP calculation (GGA-PBEsol) on an optimized crystal structure of Os2PtW.

* crystal system: orthorhombic
* volume: 58.4 Å³ per cell
* space-group type: No. 25
* Fermi-level density of states: 2.89 states/eV/f.u.

a b c (Å): 2.726 3.902 5.491
angles (deg): 90.00 90.00 90.00
Sites, in units of the cell vectors:
1 Os 0.000 0.000 0.000
2 Os 0.500 0.500 0.219
3 Pt 0.000 0.000 0.488
4 W 0.500 0.500 0.747

---

## x
VASP calculation (GGA-PBEsol) on an optimized crystal structure of Os2PtW.

* crystal system: tetragonal
* volume: 57.9 Å³ per cell
* space-group type: No. 123
* Fermi-level density of states: 1.52 states/eV/f.u.

a b c (Å): 3.897 3.897 3.810
angles (deg): 90.00 90.00 90.00
Sites, in units of the cell vectors:
1 Os 0.000 0.500 0.000
2 Os 0.500 0.000 0.000
3 Pt 0.000 0.000 0.500
4 W 0.500 0.500 0.500

---

## y
VASP calculation (GGA-PBEsol) on an optimized crystal structure of Os2PtW.

* crystal system: monoclinic
* volume: 58.1 Å³ per cell
* space-group type: No. 10
* Fermi-level density of states: 3.73 states/eV/f.u.

a b c (Å): 4.731 2.746 4.764
angles (deg): 90.00 110.18 90.00
Sites, in units of the cell vectors:
1 Os 0.000 0.000 0.000
2 Os 0.000 0.500 0.500
3 Pt 0.500 0.000 0.500
4 W 0.500 0.500 0.000

---

Which one is most stable, and which one is least stable? x is the most stable of them, while y is the least stable.

---

## w
VASP calculation (GGA-PBEsol) on an optimized crystal structure of YOsPt2.

* crystal system: tetragonal
* volume: 66.7 Å³ per cell
* space-group type: No. 119
* Fermi-level density of states: 6.68 states/eV/f.u.

a b c (Å): 4.982 4.982 4.982
angles (deg): 132.12 132.12 70.04
Sites, in units of the cell vectors:
1 Y 0.000 0.000 0.000
2 Os 0.750 0.250 0.500
3 Pt 0.250 0.750 0.500
4 Pt 0.500 0.500 0.000

---

## x
VASP calculation (GGA-PBEsol) on an optimized crystal structure of YOsPt2.

* crystal system: tetragonal
* volume: 66.1 Å³ per cell
* space-group type: No. 123
* Fermi-level density of states: 4.03 states/eV/f.u.

a b c (Å): 2.839 2.839 8.208
angles (deg): 90.00 90.00 90.00
Sites, in units of the cell vectors:
1 Y 0.000 0.000 0.000
2 Os 0.000 0.000 0.500
3 Pt 0.500 0.500 0.273
4 Pt 0.500 0.500 0.727

---

Which one is most stable, and which one is least stable? w is the most stable of them, while x is the least stable.

---

## w
VASP calculation (GGA-PBEsol) on an optimized crystal structure of YOs2Pt.

* crystal system: tetragonal
* volume: 65.1 Å³ per cell
* space-group type: No. 123
* Fermi-level density of states: 4.61 states/eV/f.u.

a b c (Å): 3.943 3.943 4.184
angles (deg): 90.00 90.00 90.00
Sites, in units of the cell vectors:
1 Y 0.000 0.000 0.000
2 Os 0.000 0.500 0.500
3 Os 0.500 0.000 0.500
4 Pt 0.500 0.500 0.000

---

## x
VASP calculation (GGA-PBEsol) on an optimized crystal structure of YOs2Pt.

* crystal system: tetragonal
* volume: 65.8 Å³ per cell
* space-group type: No. 99
* Fermi-level density of states: 2.04 states/eV/f.u.

a b c (Å): 2.866 2.866 8.007
angles (deg): 90.00 90.00 90.00
Sites, in units of the cell vectors:
1 Y 0.000 0.000 0.000
2 Os 0.000 0.000 0.485
3 Os 0.500 0.500 0.283
4 Pt 0.500 0.500 0.727

---

Which one is most stable, and which one is least stable? x is the most stable of them, while w is the least stable.

---

## w
VASP calculation (GGA-PBEsol) on an optimized crystal structure of RbSb3Os.

* crystal system: cubic
* volume: 180.3 Å³ per cell
* space-group type: No. 221
* Fermi-level density of states: 9.91 states/eV/f.u.

a b c (Å): 5.649 5.649 5.649
angles (deg): 90.00 90.00 90.00
Sites, in units of the cell vectors:
1 Rb 0.000 0.000 0.000
2 Sb 0.000 0.000 0.500
3 Sb 0.000 0.500 0.000
4 Sb 0.500 0.000 0.000
5 Os 0.500 0.500 0.500

---

## x
VASP calculation (GGA-PBEsol) on an optimized crystal structure of RbSb3Os.

* crystal system: cubic
* volume: 145.2 Å³ per cell
* space-group type: No. 221
* Fermi-level density of states: 5.69 states/eV/f.u.

a b c (Å): 5.256 5.256 5.256
angles (deg): 90.00 90.00 90.00
Sites, in units of the cell vectors:
1 Rb 0.000 0.000 0.000
2 Sb 0.000 0.500 0.500
3 Sb 0.500 0.000 0.500
4 Sb 0.500 0.500 0.000
5 Os 0.500 0.500 0.500

---

Which one is most stable, and which one is least stable? x is the most stable of them, while w is the least stable.

---

## w
VASP calculation (GGA-PBEsol) on an optimized crystal structure of ReOs5.

* crystal system: monoclinic
* volume: 84.1 Å³ per cell
* space-group type: No. 8
* Fermi-level density of states: 3.59 states/eV/f.u.

a b c (Å): 5.113 5.113 6.414
angles (deg): 103.10 103.10 31.05
Sites, in units of the cell vectors:
1 Re 0.000 0.000 0.000
2 Os 0.278 0.278 0.055
3 Os 0.333 0.333 0.666
4 Os 0.611 0.611 0.722
5 Os 0.667 0.667 0.333
6 Os 0.945 0.945 0.388

---

## x
VASP calculation (GGA-PBEsol) on an optimized crystal structure of ReOs5.

* crystal system: hexagonal
* volume: 84.0 Å³ per cell
* space-group type: No. 189
* Fermi-level density of states: 2.83 states/eV/f.u.

a b c (Å): 4.743 4.743 4.313
angles (deg): 90.00 90.00 120.00
Sites, in units of the cell vectors:
1 Re 0.000 0.000 0.000
2 Os 0.000 0.666 0.500
3 Os 0.333 0.667 0.000
4 Os 0.334 0.334 0.500
5 Os 0.666 0.000 0.500
6 Os 0.667 0.333 0.000

---

Which one is most stable, and which one is least stable? x is the most stable of them, while w is the least stable.

---

## w
VASP calculation (GGA-PBEsol) on an optimized crystal structure of ReOsRu2.

* crystal system: orthorhombic
* volume: 55.2 Å³ per cell
* space-group type: No. 65
* Fermi-level density of states: 4.02 states/eV/f.u.

a b c (Å): 4.655 4.655 2.698
angles (deg): 90.00 90.00 109.21
Sites, in units of the cell vectors:
1 Re 0.000 0.000 0.000
2 Os 0.500 0.500 0.000
3 Ru 0.000 0.500 0.500
4 Ru 0.500 0.000 0.500

---

## x
VASP calculation (GGA-PBEsol) on an optimized crystal structure of ReOsRu2.

* crystal system: orthorhombic
* volume: 55.0 Å³ per cell
* space-group type: No. 25
* Fermi-level density of states: 2.75 states/eV/f.u.

a b c (Å): 2.718 4.299 4.707
angles (deg): 90.00 90.00 90.00
Sites, in units of the cell vectors:
1 Re 0.000 0.000 0.000
2 Os 0.000 0.500 0.332
3 Ru 0.500 0.000 0.494
4 Ru 0.500 0.500 0.831

---

Which one is most stable, and which one is least stable? x is the most stable of them, while w is the least stable.

---

## w
VASP calculation (GGA-PBEsol) on an optimized crystal structure of Re2OsRu.

* crystal system: orthorhombic
* volume: 56.5 Å³ per cell
* space-group type: No. 65
* Fermi-level density of states: 3.07 states/eV/f.u.

a b c (Å): 4.696 4.696 2.715
angles (deg): 90.00 90.00 109.47
Sites, in units of the cell vectors:
1 Re 0.000 0.500 0.000
2 Re 0.500 0.000 0.000
3 Os 0.000 0.000 0.500
4 Ru 0.500 0.500 0.500

---

## x
VASP calculation (GGA-PBEsol) on an optimized crystal structure of Re2OsRu.

* crystal system: orthorhombic
* volume: 56.4 Å³ per cell
* space-group type: No. 25
* Fermi-level density of states: 3.32 states/eV/f.u.

a b c (Å): 2.741 4.344 4.733
angles (deg): 90.00 90.00 90.00
Sites, in units of the cell vectors:
1 Re 0.000 0.000 0.000
2 Re 0.000 0.500 0.335
3 Os 0.500 0.000 0.499
4 Ru 0.500 0.500 0.841

---

Which one is most stable, and which one is least stable? x is the most stable of them, while w is the least stable.